The following is a DFT calculation (PBE) of a relaxed structure of AcYH.

Output
mass density = 6.79 g/cm³
excess energy over the best structure of this formula in the dataset = 0.146 eV/atom
total energy = -27.9 eV for the cell shown

Geometry as POSCAR:
```
AcYH
1.0
3.5869 0.0000 0.0000
-1.7934 5.0721 -4.6544
0.0000 -8.4158 16.2422
Y H Ac
2 2 2
direct
0.8955 0.7910 0.7674 Y
0.1045 0.2090 0.2326 Y
0.5329 0.0658 0.0959 H
0.4671 0.9342 0.9041 H
0.6108 0.2217 0.7452 Ac
0.3892 0.7783 0.2548 Ac
```

---

The following is a DFT calculation (PBE) of a relaxed structure of Ac2YH.

Output
mass density = 7.14 g/cm³
excess energy over the best structure of this formula in the dataset = 0.000 eV/atom
total energy = -17.6 eV for the cell shown

Geometry as POSCAR:
```
Ac2YH
1.0
3.7676 0.0000 0.0000
1.8838 3.2629 0.0000
1.8838 1.0876 10.2938
Y H Ac
1 1 2
direct
0.0000 0.0000 0.0000 Y
0.5000 0.5000 0.5000 H
0.1154 0.1154 0.6539 Ac
0.8846 0.8846 0.3461 Ac
```

---

The following is a DFT calculation (PBE) of a relaxed structure of AcYH.

Output
mass density = 6.91 g/cm³
excess energy over the best structure of this formula in the dataset = 0.000 eV/atom
total energy = -14.4 eV for the cell shown

Geometry as POSCAR:
```
AcYH
1.0
-3.0916 -1.2297 1.8274
1.8624 -2.3229 -2.3549
3.4943 -1.8973 4.6350
Y H Ac
1 1 1
direct
0.6667 0.3333 0.4406 Y
0.3333 0.6667 0.6348 H
0.0000 0.0000 0.9246 Ac
```

---

The following is a DFT calculation (PBE) of a relaxed structure of AcYH.

Output
mass density = 6.45 g/cm³
excess energy over the best structure of this formula in the dataset = 0.144 eV/atom
total energy = -13.9 eV for the cell shown

Geometry as POSCAR:
```
AcYH
1.0
3.5436 0.0000 0.0000
0.0000 3.5436 0.0000
-1.7718 -1.7718 6.4950
Y H Ac
1 1 1
direct
0.7424 0.7424 0.4848 Y
0.2250 0.2250 0.4499 H
0.0326 0.0326 0.0653 Ac
```

---

The following is a DFT calculation (PBE) of a relaxed structure of AcY3H.

Output
mass density = 6.02 g/cm³
total energy = -27.5 eV for the cell shown

Geometry as POSCAR:
```
AcY3H
1.0
5.1473 0.0000 0.0000
0.0000 5.1473 0.0000
0.0000 0.0000 5.1473
Y H Ac
3 1 1
direct
0.0000 0.5000 0.0000 Y
0.0000 0.0000 0.5000 Y
0.5000 0.0000 0.0000 Y
0.0000 0.0000 0.0000 H
0.5000 0.5000 0.5000 Ac
```

---

The following is a DFT calculation (PBE) of a relaxed structure of Ac2YH.

Output
mass density = 7.28 g/cm³
excess energy over the best structure of this formula in the dataset = 0.040 eV/atom
total energy = -17.4 eV for the cell shown

Geometry as POSCAR:
```
Ac2YH
1.0
3.6990 0.0000 0.0000
0.0000 3.6990 0.0000
0.0000 0.0000 9.0661
Y H Ac
1 1 2
direct
0.5000 0.5000 0.5000 Y
0.5000 0.5000 0.0000 H
0.0000 0.0000 0.8029 Ac
0.0000 0.0000 0.1971 Ac
```

---

The following is a DFT calculation (PBE) of a relaxed structure of AcY2H8.

Output
mass density = 5.83 g/cm³
total energy = -50.2 eV for the cell shown

Geometry as POSCAR:
```
AcY2H8
1.0
0.2942 1.0845 -3.6111
-2.2684 -4.6726 -1.5881
-4.1923 4.2059 2.9019
Ac Y H
1 2 8
direct
0.5000 0.0000 0.0000 Ac
0.1713 0.6713 0.3425 Y
0.8287 0.3287 0.6575 Y
0.6710 0.8975 0.3419 H
0.3290 0.5556 0.6581 H
0.1569 0.1569 0.3139 H
0.0000 0.3006 0.0000 H
0.8431 0.8431 0.6861 H
0.6710 0.4444 0.3419 H
0.3290 0.1025 0.6581 H
0.0000 0.6994 0.0000 H
```

---

The following is a DFT calculation (PBE) of a relaxed structure of AcZnH.

Output
mass density = 6.66 g/cm³
excess energy over the best structure of this formula in the dataset = 0.000 eV/atom
total energy = -18.1 eV for the cell shown

Geometry as POSCAR:
```
AcZnH
1.0
3.9719 0.0000 0.0000
0.0000 6.4606 -0.7713
-1.9859 -4.0490 6.1844
H Ac Zn
2 2 2
direct
0.3281 0.0951 0.6563 H
0.6719 0.9049 0.3437 H
0.8298 0.8863 0.6596 Ac
0.1702 0.1137 0.3404 Ac
0.0888 0.4989 0.1775 Zn
0.9112 0.5011 0.8225 Zn
```

---

The following is a DFT calculation (PBE) of a relaxed structure of AcZnH6.

Output
mass density = 5.97 g/cm³
total energy = -26.3 eV for the cell shown

Geometry as POSCAR:
```
AcZnH6
1.0
-2.3485 3.3654 -0.7832
-1.8021 -1.8529 3.2824
3.3263 2.4763 2.7313
Ac Zn H
1 1 6
direct
0.5000 0.5000 0.5000 Ac
0.0000 0.0000 0.0000 Zn
0.7189 0.0754 0.7421 H
0.0754 0.7189 0.7421 H
0.9246 0.2811 0.2579 H
0.2811 0.9246 0.2579 H
0.4082 0.4082 0.9906 H
0.5918 0.5918 0.0094 H
```

---

The following is a DFT calculation (PBE) of a relaxed structure of Ac3ZnH.

Output
mass density = 8.25 g/cm³
total energy = -17.2 eV for the cell shown

Geometry as POSCAR:
```
Ac3ZnH
1.0
-4.9794 0.1365 1.8643
-1.8481 -1.1546 -4.8517
0.2802 -5.1900 1.1284
H Ac Zn
1 3 1
direct
0.0000 0.0000 0.0000 H
0.0000 0.5000 0.0000 Ac
0.0000 0.0000 0.5000 Ac
0.5000 0.0000 0.0000 Ac
0.5000 0.5000 0.5000 Zn
```

---

The following is a DFT calculation (PBE) of a relaxed structure of AcZnH4.

Output
mass density = 6.56 g/cm³
total energy = -40.1 eV for the cell shown

Geometry as POSCAR:
```
AcZnH4
1.0
-1.4324 -2.4313 3.0167
5.0367 -3.2364 -1.7298
1.4623 5.8055 3.3016
Ac Zn H
2 2 8
direct
0.3827 0.1327 0.7654 Ac
0.6173 0.8673 0.2346 Ac
0.1670 0.4170 0.3339 Zn
0.8330 0.5830 0.6661 Zn
0.2101 0.8133 0.8804 H
0.6704 0.5671 0.8804 H
0.1386 0.7455 0.3698 H
0.8614 0.2545 0.6302 H
0.7688 0.8757 0.6302 H
0.3296 0.4329 0.1196 H
0.2312 0.1243 0.3698 H
0.7899 0.1867 0.1196 H
```

---

The following is a DFT calculation (PBE) of a relaxed structure of AcZnH.

Output
mass density = 6.69 g/cm³
excess energy over the best structure of this formula in the dataset = 0.147 eV/atom
total energy = -8.6 eV for the cell shown

Geometry as POSCAR:
```
AcZnH
1.0
4.4405 0.0000 0.0000
0.0000 4.4405 0.0000
-2.2203 -2.2203 3.6961
H Ac Zn
1 1 1
direct
0.9146 0.9146 0.8292 H
0.2551 0.2551 0.5101 Ac
0.6803 0.6803 0.3607 Zn
```

---

- Among the records above, which one has the highest total energy?
  number 12

---

- Number 12 is which compound?
  AcZnH

---

- Among the records above, which one has the lowest mass density?
  AcY2H8

---

- Which formula does entry 8 have?
  AcZnH